Run i
14
Lattice="7.2497 0.0000 0.0000 3.6248 6.2784 0.0000 3.6248 2.0928 8.7187" Properties=species:S:1:pos:R:3 comment="SrCd3Sn3 | Alexandria | GGA-PBE | relaxed" n_ef_per_ev_fu=2.7 pbc="T T T"
Sn 5.0387 5.1870 1.7565
Sn 5.2769 2.7715 6.9622
Sn 9.4606 3.1842 6.9622
Sn 7.0114 6.6010 6.9622
Sr 3.6248 2.0928 0.6721
Cd 7.7184 1.6745 5.0662
Sn 9.2224 5.5996 1.7565
Cd 9.6586 3.3360 3.6525
Sn 7.4879 1.7701 1.7565
Cd 4.8407 5.0352 5.0662
Cd 9.1899 5.8470 5.0662
Cd 5.3094 2.5241 3.6525
Sr 10.8745 6.2784 8.0466
Cd 6.7809 6.6966 3.6525

Run ii
14
Lattice="-2.1873 -7.5218 -1.2215 6.8335 -2.4985 3.1488 -3.3724 -0.1841 7.1727" Properties=species:S:1:pos:R:3 comment="SrCd3Sn3 | Alexandria | GGA-PBE | relaxed" n_ef_per_ev_fu=5.2 pbc="T T T"
Cd 0.0222 -0.7167 4.3735
Sn -2.2330 -1.9725 3.2810
Sn 2.5737 -1.2953 3.3676
Cd -3.6229 -3.8990 4.7688
Sn 0.6147 -4.3855 0.1764
Cd 2.8699 -3.1297 1.2690
Cd -1.9367 -3.8070 1.1824
Sr 0.0000 0.0000 0.0000
Sn 4.0315 -5.6348 1.7508
Sn -3.3267 -5.7334 2.6702
Sr 0.6369 -5.1022 4.5500
Cd 3.4390 -1.9659 5.9479
Sn 0.8875 -1.3873 6.9539
Cd 1.7763 -6.8906 0.6583

Relative stability in meV per atom, measured from the most stable structure: run i 0; run ii 264